LiSb2Pd2: relaxed, PBE.

Calculated values
energy relative to the lowest polymorph listed for this composition	23.55	kJ per mole of atoms
formation energy from raw total energies	-25	kJ per mole of atoms

Unit cell a=5.223 b=5.223 c=8.061 alpha=90.00 beta=90.00 gamma=90.00
Space group I4/mmm (No. 139)
Asymmetric unit:
Li1 0.000 0.000 0.000 [2 per cell]
Sb1 0.000 0.500 0.250 [4 per cell]
Pd1 0.000 0.000 0.335 [4 per cell]